Crystalline Tl2CrCoO4 at its relaxed geometry, computed with PBE+U.

Computed properties:
Uncorrected energy: -88.493 eV for the cell shown

a b c (Å): 11.630 10.129 6.778
angles (deg): 84.45 60.10 35.46
Fractional coordinates of all 16 atoms:
Tl 0.044 0.044 0.706
Tl 0.294 0.294 0.956
Tl 0.706 0.706 0.044
Tl 0.956 0.956 0.294
Cr 0.125 0.125 0.125
Cr 0.875 0.875 0.875
Co 0.375 0.375 0.375
Co 0.625 0.625 0.625
O 0.030 0.329 0.363
O 0.222 0.637 0.671
O 0.329 0.030 0.778
O 0.363 0.778 0.030
O 0.637 0.222 0.970
O 0.671 0.970 0.222
O 0.778 0.363 0.329
O 0.970 0.671 0.637